GGA-PBE ThAl11Cr, relaxed; ΔE_f = -0.16 eV per atom; M_tot = 0.06 μB/atom; calculated total energy = -4.643 eV/atom
1.0
2.6308 -6.3871 0.0000
2.6308 6.3871 0.0000
-2.6032 0.0000 6.6192
Th Al Cr
1 11 1
direct
0.0000 0.0000 0.0000
0.0000 0.0000 0.5000
0.0000 0.5000 0.0000
0.0260 0.3709 0.3628
0.2850 0.5008 0.7745
0.3709 0.0260 0.3628
0.4992 0.7150 0.2255
0.5000 0.0000 0.0000
0.5008 0.2850 0.7745
0.6291 0.9740 0.6372
0.7150 0.4992 0.2255
0.9740 0.6291 0.6372
0.5000 0.5000 0.5000

=====

GGA-PBE Li8GaAg5, relaxed; ΔE_f = -0.10 eV per atom; M_tot = 0.00 μB/atom; calculated total energy = -2.432 eV/atom
1.0
-3.8706 3.8706 4.0078
3.8706 -3.8706 4.0078
3.8706 3.8706 -4.0078
Li Ga Ag
8 1 5
direct
0.0069 0.1113 0.7719
0.1951 0.4145 0.5812
0.3393 0.2350 0.2281
0.3862 0.8049 0.2195
0.5855 0.1667 0.7805
0.7650 0.9931 0.1044
0.8333 0.6138 0.4188
0.8887 0.6607 0.8956
0.5000 0.5000 0.0000
0.0365 0.4535 0.1745
0.1379 0.9635 0.4170
0.2791 0.8621 0.8255
0.5465 0.7209 0.5830
0.7500 0.2500 0.5000

=====

GGA-PBE RbCaNbTeSe, relaxed; ΔE to the lowest computed polymorph = 205.2 meV/atom; M_tot = 0.36 μB/atom; calculated total energy = -4.442 eV/atom; E_form (uncorrected) = -0.509 eV per atom
1.0
7.9019 -1.9339 0.0000
7.9019 1.9339 0.0000
-1.7760 0.0000 6.0585
Rb Ca Nb Te Se
1 1 1 1 1
direct
0.0000 0.0000 0.0000
0.2677 0.2677 0.5666
0.2846 0.2846 0.0775
0.6662 0.6662 0.8143
0.8606 0.8606 0.3596

=====

GGA-PBE Sc2SbPd, relaxed; M_tot = 0.00 μB/atom; calculated total energy = -5.757 eV/atom; E_form (uncorrected) = -0.263 eV per atom
1.0
1.8403 1.0625 8.9391
-1.8403 1.0625 8.9391
0.0000 -2.1250 8.9391
Sc Sb Pd
2 1 1
direct
0.1074 0.1074 0.1074
0.8926 0.8926 0.8926
0.0000 0.0000 0.0000
0.5000 0.5000 0.5000

=====

GGA-PBE LiCaLuPt, relaxed; ΔE_f = -0.60 eV per atom; M_tot = 0.00 μB/atom; calculated total energy = -4.223 eV/atom
1.0
0.0000 3.4933 3.4933
3.4933 0.0000 3.4933
3.4933 3.4933 0.0000
Li Ca Lu Pt
1 1 1 1
direct
0.0000 0.0000 0.0000
0.7500 0.7500 0.7500
0.2500 0.2500 0.2500
0.5000 0.5000 0.5000

=====

GGA-PBE Ce2Zn3Pt, relaxed; ΔE_f = -0.56 eV per atom; M_tot = 0.22 μB/atom; calculated total energy = -4.179 eV/atom
1.0
3.4783 0.0000 0.0000
0.0000 4.5446 0.0000
0.0000 0.0000 7.8871
Ce Zn Pt
2 3 1
direct
0.0000 0.0000 0.0000
0.0000 0.5000 0.4655
0.5000 0.0000 0.6557
0.5000 0.5000 0.1406
0.5000 0.5000 0.8120
0.5000 0.0000 0.3183

=====

GGA-PBE TaZnW2, relaxed; ΔE_f = 0.17 eV per atom; M_tot = 0.00 μB/atom; calculated total energy = -9.592 eV/atom
1.0
2.7261 0.0000 0.0000
0.0000 4.6011 0.0000
-0.7299 0.0000 5.1992
Ta Zn W
1 1 2
direct
0.0000 0.0000 0.0000
0.5000 0.0000 0.5000
0.2700 0.5000 0.7506
0.7300 0.5000 0.2494

=====

GGA-PBE Sr2CaAs, relaxed; ΔE_f = -0.52 eV per atom; M_tot = 0.00 μB/atom; calculated total energy = -3.026 eV/atom
1.0
3.9708 0.0000 0.0000
0.0000 3.9708 0.0000
0.0000 0.0000 9.7219
Sr Ca As
2 1 1
direct
0.0000 0.0000 0.1689
0.0000 0.0000 0.8311
0.5000 0.5000 0.5000
0.5000 0.5000 0.0000